Entry 1:
An optimized crystal structure of Li3NbP, computed with PBE.

As for the energy above the most stable polymorph in this dataset: 0.0 meV per atom. The crystal system is cubic. The formation energy is 519 meV/atom.

The space group is Pm-3m (No. 221) and the conventional cell measures 4.456, 4.456 and 4.456 Å, with angles of 90.00, 90.00 and 90.00 degrees. The asymmetric unit holds Li at (0.000, 0.000, 0.500), Nb at (0.500, 0.500, 0.500) and P at (0.000, 0.000, 0.000).



Entry 2:
An optimized crystal structure of K3Sc3AlS8, computed with PBE.

The calculation puts the uncorrected formation energy at -1.5172 eV per atom. The crystal system is trigonal.

The space group is R-3m (No. 166, hexagonal axes) and the conventional cell measures 7.4242, 7.4242 and 22.6319 Å, with angles of 90.00, 90.00 and 120.00 degrees. The asymmetric unit holds K at (0.0000, 0.5000, 0.0000), Sc at (0.0000, 0.5000, 0.5000), Al at (0.0000, 0.0000, 0.5000), S at (0.0000, 0.0000, 0.2311) and S at (0.0134, 0.5067, 0.2281).



Entry 3:
An optimized crystal structure of B7C3, computed with PBE.

As for the energy above the most stable polymorph in this dataset: 291.2 meV per atom. The crystal system is trigonal. The formation energy is 583 meV/atom.

The space group is R3m (No. 160, hexagonal axes) and the conventional cell measures 2.5332, 2.5332 and 38.0358 Å, with angles of 90.00, 90.00 and 120.00 degrees. The asymmetric unit holds B at (0.0000, 0.0000, 0.0000), B at (0.0000, 0.0000, 0.0440), B at (0.0000, 0.0000, 0.1867), B at (0.0000, 0.0000, 0.2312), B at (0.0000, 0.0000, 0.4053), B at (0.0000, 0.0000, 0.5939), B at (0.0000, 0.0000, 0.6377), C at (0.0000, 0.0000, 0.4468), C at (0.0000, 0.0000, 0.7946) and C at (0.0000, 0.0000, 0.8338).



Entry 4:
An optimized crystal structure of ScInP, computed with PBE.

As for the energy above the most stable polymorph in this dataset: 469.4 meV per atom. The crystal system is cubic. The formation energy is -130 meV/atom.

The space group is F-43m (No. 216) and the conventional cell measures 6.546, 6.546 and 6.546 Å, with angles of 90.00, 90.00 and 90.00 degrees. The asymmetric unit holds Sc at (0.000, 0.000, 0.000), In at (0.250, 0.250, 0.250) and P at (0.250, 0.250, 0.750).



Entry 5:
An optimized crystal structure of TaIrSe, computed with PBE.

The calculation puts the uncorrected formation energy at 0.0249 eV per atom. As for the energy above the most stable polymorph in this dataset: 268.0 meV per atom. The crystal system is cubic.

The space group is F-43m (No. 216) and the conventional cell measures 6.173, 6.173 and 6.173 Å, with angles of 90.00, 90.00 and 90.00 degrees. The asymmetric unit holds Ta at (0.000, 0.000, 0.000), Ir at (0.250, 0.250, 0.250) and Se at (0.250, 0.250, 0.750).



Entry 6:
An optimized crystal structure of CrSb2P, computed with PBE.

The calculation puts the uncorrected formation energy at 0.1144 eV per atom. The crystal system is orthorhombic.

The space group is Immm (No. 71) and the conventional cell measures 3.388, 3.443 and 14.874 Å, with angles of 90.00, 90.00 and 90.00 degrees. The asymmetric unit holds Cr at (0.000, 0.000, 0.000), Sb at (0.000, 0.500, 0.153) and P at (0.000, 0.000, 0.500).